(1)
The following is a PBE calculation of a geometry-optimized RbNaAg10 structure, from the Alexandria database.

extended XYZ file:
```
12
Lattice="-1.165 -3.925 -2.276 3.121 1.680 -4.495 7.989 -4.593 3.831" Properties=species:S:1:pos:R:3 pbc="T T T"
Rb 0.000 0.000 0.000
Na 5.555 -1.456 -0.332
Ag 2.741 -1.576 1.314
Ag 8.094 -2.916 0.885
Ag 3.016 0.003 -1.550
Ag 5.248 -3.017 2.516
Ag 3.412 -4.259 0.777
Ag 0.978 -1.123 -3.385
Ag 2.257 -2.717 -1.290
Ag 7.688 -4.121 -1.650
Ag 3.801 -1.886 -3.514
Ag 6.144 -4.952 0.574
```

Values from the calculation:
Magnetization ... 0.0 Bohr magnetons per cell
E_form ... 18 meV/atom
Space-group type ... Pmmm (47)

=====

(2)
The following is a PBE calculation of a geometry-optimized RbNa9Ag2 structure, from the Alexandria database.

extended XYZ file:
```
24
Lattice="-6.874 -0.737 5.834 0.781 -8.009 6.923 1.164 5.396 9.067" Properties=species:S:1:pos:R:3 pbc="T T T"
Rb -3.437 -0.368 2.917
Rb -0.746 -1.491 9.453
Na -4.183 -1.859 12.370
Na 0.000 0.000 0.000
Na 1.380 -3.759 12.686
Na -3.866 0.671 7.064
Na -3.970 1.146 10.509
Na -1.954 -4.603 12.159
Na -3.712 -4.008 15.147
Na -0.223 0.764 5.833
Na 0.719 -5.727 9.630
Na -1.217 2.851 8.433
Na -3.618 -0.713 15.674
Na -0.317 -2.530 5.306
Na 0.951 2.390 10.928
Na -1.448 -5.265 7.134
Na 1.474 -0.465 13.213
Na -3.960 -2.623 6.537
Na -4.121 -4.142 9.663
Na -1.803 0.685 13.005
Ag -4.947 1.400 13.636
Ag -5.138 -5.303 12.564
Ag -5.529 -1.298 9.102
Ag -1.119 -2.236 14.180
```

Values from the calculation:
Magnetization ... 0.0 Bohr magnetons per cell
E_form ... 15 meV/atom
Space-group type ... I4_1/amd (141)

=====

(3)
The following is a PBE calculation of a geometry-optimized RbNa3Ag structure, from the Alexandria database.

extended XYZ file:
```
5
Lattice="-0.491 -5.753 1.422 3.930 0.751 4.399 -4.436 1.303 3.740" Properties=species:S:1:pos:R:3 pbc="T T T"
Na 1.965 0.376 2.199
Na -2.218 0.652 1.870
Na -0.246 -2.877 0.711
Rb -0.498 -1.849 4.780
Ag 0.000 0.000 0.000
```

Values from the calculation:
Magnetization ... 0.0 Bohr magnetons per cell
E_form ... 47 meV/atom
E above lowest polymorph ... 7 kJ/mol of formula units
Space-group type ... Pm-3m (221)

=====

(4)
The following is a PBE calculation of a geometry-optimized RbNaAg2 structure, from the Alexandria database.

extended XYZ file:
```
16
Lattice="-7.506 -0.552 -1.792 1.940 -4.428 -6.762 -0.554 -7.139 4.517" Properties=species:S:1:pos:R:3 pbc="T T T"
Rb -5.797 -2.833 0.104
Rb -4.735 -3.855 -4.032
Rb -0.322 -9.286 -4.141
Rb -1.385 -8.264 -0.006
Na -4.447 -9.967 -3.357
Na -5.344 -6.816 -0.569
Na -1.673 -2.152 -0.680
Na -0.776 -5.303 -3.469
Ag -6.021 -7.275 -3.589
Ag -4.522 -7.790 2.287
Ag -2.794 -5.042 -1.092
Ag 1.099 -4.131 -5.681
Ag -0.099 -4.844 -0.448
Ag -1.597 -4.329 -6.325
Ag -3.325 -7.077 -2.946
Ag -7.218 -7.988 1.644
```

Values from the calculation:
Magnetization ... 0.0 Bohr magnetons per cell
E_form ... 51 meV/atom
E above lowest polymorph ... 4 kJ/mol of formula units
Space-group type ... Pnma (62)

=====

(5)
The following is a PBE calculation of a geometry-optimized RbNaAg structure, from the Alexandria database.

extended XYZ file:
```
3
Lattice="5.736 0.000 0.000 2.868 4.967 0.000 2.868 1.656 4.683" Properties=species:S:1:pos:R:3 pbc="T T T"
Na 5.736 3.312 2.342
Rb 0.000 0.000 0.000
Ag 2.868 1.656 1.171
```

Values from the calculation:
Magnetization ... 0.0 Bohr magnetons per cell
E_form ... 141 meV/atom
E above lowest polymorph ... 33 kJ/mol of formula units
Space-group type ... F-43m (216)

=====

(6)
The following is a PBE calculation of a geometry-optimized RbNaAg2 structure, from the Alexandria database.

extended XYZ file:
```
4
Lattice="3.908 0.000 0.000 0.000 3.908 0.000 0.000 0.000 8.053" Properties=species:S:1:pos:R:3 pbc="T T T"
Na 1.954 1.954 0.000
Rb 1.954 1.954 4.027
Ag 0.000 0.000 6.585
Ag 0.000 0.000 1.468
```

Values from the calculation:
Magnetization ... 0.0 Bohr magnetons per cell
E_form ... 97 meV/atom
E above lowest polymorph ... 22 kJ/mol of formula units
Space-group type ... P4/mmm (123)

=====

(7)
The following is a PBE calculation of a geometry-optimized Rb2Na2Ag structure, from the Alexandria database.

extended XYZ file:
```
10
Lattice="9.274 0.000 0.000 0.000 9.274 0.000 0.000 0.000 6.590" Properties=species:S:1:pos:R:3 pbc="T T T"
Na 1.327 5.964 3.295
Na 5.964 7.948 3.295
Na 7.948 3.310 3.295
Na 3.310 1.327 3.295
Rb 3.088 7.725 0.000
Rb 7.725 6.187 0.000
Rb 6.187 1.549 0.000
Rb 1.549 3.088 0.000
Ag 0.000 0.000 0.000
Ag 4.637 4.637 0.000
```

Values from the calculation:
Magnetization ... 0.0 Bohr magnetons per cell
E_form ... 227 meV/atom
E above lowest polymorph ... 65 kJ/mol of formula units
Space-group type ... P4/mbm (127)

=====

(8)
The following is a PBE calculation of a geometry-optimized Rb2NaAg structure, from the Alexandria database.

extended XYZ file:
```
4
Lattice="0.000 4.546 4.546 4.546 0.000 4.546 4.546 4.546 0.000" Properties=species:S:1:pos:R:3 pbc="T T T"
Na 0.000 0.000 0.000
Rb 2.273 2.273 2.273
Rb 6.819 6.819 6.819
Ag 4.546 4.546 4.546
```

Values from the calculation:
Magnetization ... 0.0 Bohr magnetons per cell
E_form ... 103 meV/atom
E above lowest polymorph ... 24 kJ/mol of formula units
Space-group type ... Fm-3m (225)

=====

(9)
The following is a PBE calculation of a geometry-optimized RbNa3Ag structure, from the Alexandria database.

extended XYZ file:
```
5
Lattice="6.576 0.000 0.000 0.000 6.576 0.000 0.000 0.000 6.576" Properties=species:S:1:pos:R:3 pbc="T T T"
Na 0.000 3.288 0.000
Na 0.000 0.000 3.288
Na 3.288 0.000 0.000
Rb 0.000 0.000 0.000
Ag 3.288 3.288 3.288
```

Values from the calculation:
Magnetization ... 0.0 Bohr magnetons per cell
E_form ... 703 meV/atom
E above lowest polymorph ... 324 kJ/mol of formula units
Space-group type ... Pm-3m (221)

=====

(10)
The following is a PBE calculation of a geometry-optimized RbNaAg3 structure, from the Alexandria database.

extended XYZ file:
```
5
Lattice="6.208 0.000 0.000 0.000 6.208 0.000 0.000 0.000 6.208" Properties=species:S:1:pos:R:3 pbc="T T T"
Na 3.104 3.104 3.104
Rb 0.000 0.000 0.000
Ag 0.000 3.104 0.000
Ag 0.000 0.000 3.104
Ag 3.104 0.000 0.000
```

Values from the calculation:
Magnetization ... 0.0 Bohr magnetons per cell
E_form ... 866 meV/atom
E above lowest polymorph ... 382 kJ/mol of formula units
Space-group type ... Pm-3m (221)

=====

(11)
The following is a PBE calculation of a geometry-optimized Rb2NaAg structure, from the Alexandria database.

extended XYZ file:
```
4
Lattice="-1.106 3.645 2.841 -6.001 -0.223 -2.050 -1.440 -4.065 4.655" Properties=species:S:1:pos:R:3 pbc="T T T"
Na -4.273 -0.321 2.723
Rb -0.720 -2.032 2.328
Rb -3.000 -0.112 -1.025
Ag -0.553 1.823 1.420
```

Values from the calculation:
Magnetization ... 0.0 Bohr magnetons per cell
E_form ... 104 meV/atom
E above lowest polymorph ... 24 kJ/mol of formula units
Space-group type ... P4/mmm (123)

=====

(12)
The following is a PBE calculation of a geometry-optimized Rb2NaAg structure, from the Alexandria database.

extended XYZ file:
```
4
Lattice="-3.971 -0.973 2.634 -3.594 -2.662 -1.911 2.242 -10.368 4.041" Properties=species:S:1:pos:R:3 pbc="T T T"
Rb 1.288 -8.535 3.280
Rb -1.565 -3.049 1.004
Na -2.667 -6.990 2.377
Ag -5.039 -2.431 0.486
```

Values from the calculation:
Magnetization ... 0.0 Bohr magnetons per cell
E_form ... 118 meV/atom
E above lowest polymorph ... 30 kJ/mol of formula units
Space-group type ... R3m (160)

=====

(13)
The following is a PBE calculation of a geometry-optimized Rb2NaAg structure, from the Alexandria database.

extended XYZ file:
```
4
Lattice="-3.316 2.815 -1.629 -3.687 1.014 2.636 3.788 11.228 5.069" Properties=species:S:1:pos:R:3 pbc="T T T"
Na 0.000 0.000 0.000
Rb 1.842 8.065 3.564
Rb -5.057 6.992 2.512
Ag -1.608 7.528 3.038
```

Values from the calculation:
Magnetization ... 0.0 Bohr magnetons per cell
E_form ... 160 meV/atom
E above lowest polymorph ... 46 kJ/mol of formula units
Space-group type ... R-3m (166)

=====

(14)
The following is a PBE calculation of a geometry-optimized RbNa3Ag structure, from the Alexandria database.

extended XYZ file:
```
20
Lattice="-6.729 -2.712 2.341 3.179 -6.961 7.493 -0.136 3.523 10.113" Properties=species:S:1:pos:R:3 pbc="T T T"
Rb 1.333 -7.122 8.208
Rb -5.019 0.972 11.740
Rb -0.624 -0.932 9.755
Rb -3.062 -5.218 10.193
Na -2.053 -2.627 16.198
Na -6.123 -1.318 5.810
Na -1.633 -3.523 3.750
Na 2.437 -4.832 14.138
Na -5.020 -4.903 4.830
Na -0.883 -6.232 15.381
Na 1.334 -1.247 15.118
Na -2.803 0.082 4.566
Na -0.673 -3.435 12.901
Na 0.351 -1.356 5.877
Na -3.013 -2.715 7.047
Na -4.037 -4.794 14.070
Ag -3.526 -2.200 12.309
Ag -4.607 -1.881 9.665
Ag -0.160 -3.950 7.638
Ag 0.922 -4.269 10.283
```

Values from the calculation:
Magnetization ... 0.0 Bohr magnetons per cell
E_form ... 31 meV/atom
E above lowest polymorph ... 0 kJ/mol of formula units
Space-group type ... C2/c (15)

=====

(15)
The following is a PBE calculation of a geometry-optimized RbNaAg2 structure, from the Alexandria database.

extended XYZ file:
```
4
Lattice="-2.611 -4.648 1.922 -5.655 -0.331 -0.129 -2.550 -3.524 -3.632" Properties=species:S:1:pos:R:3 pbc="T T T"
Na 0.000 0.000 0.000
Rb -5.408 -4.252 -0.919
Ag -2.704 -2.126 -0.460
Ag -8.112 -6.377 -1.379
```

Values from the calculation:
Magnetization ... 0.0 Bohr magnetons per cell
E_form ... 188 meV/atom
E above lowest polymorph ... 57 kJ/mol of formula units
Space-group type ... Fm-3m (225)

=====

(16)
The following is a PBE calculation of a geometry-optimized Rb2NaAg structure, from the Alexandria database.

extended XYZ file:
```
4
Lattice="5.157 0.000 1.142 2.454 4.541 1.134 0.627 0.399 9.384" Properties=species:S:1:pos:R:3 pbc="T T T"
Rb 6.575 3.208 6.952
Rb 4.888 2.189 2.354
Na 3.426 4.412 8.960
Ag 3.513 1.385 8.568
```

Values from the calculation:
Magnetization ... 0.0 Bohr magnetons per cell
E_form ... 41 meV/atom
E above lowest polymorph ... 0 kJ/mol of formula units
Space-group type ... R3m (160)

=====

(17)
The following is a PBE calculation of a geometry-optimized RbNaAg2 structure, from the Alexandria database.

extended XYZ file:
```
4
Lattice="3.683 0.000 0.000 0.000 5.811 0.000 0.000 0.000 5.811" Properties=species:S:1:pos:R:3 pbc="T T T"
Na 1.841 0.000 0.000
Rb 1.841 2.905 2.905
Ag 0.000 0.000 2.905
Ag 0.000 2.905 0.000
```

Values from the calculation:
Magnetization ... 0.0 Bohr magnetons per cell
E_form ... 173 meV/atom
E above lowest polymorph ... 51 kJ/mol of formula units
Space-group type ... P4/mmm (123)

=====

(18)
The following is a PBE calculation of a geometry-optimized RbNaAg structure, from the Alexandria database.

extended XYZ file:
```
3
Lattice="-1.512 -1.943 -4.291 4.748 1.089 -2.167 -0.819 -4.684 2.410" Properties=species:S:1:pos:R:3 pbc="T T T"
Na 0.784 -3.084 0.169
Rb 1.884 -2.131 -3.502
Ag -0.252 -0.324 -0.715
```

Values from the calculation:
Magnetization ... 0.0 Bohr magnetons per cell
E_form ... 81 meV/atom
E above lowest polymorph ... 16 kJ/mol of formula units
Space-group type ... P-6m2 (187)

=====

(19)
The following is a PBE calculation of a geometry-optimized Rb6NaAg2 structure, from the Alexandria database.

extended XYZ file:
```
18
Lattice="-4.263 -8.854 5.203 0.769 -1.367 -11.008 10.421 1.863 3.399" Properties=species:S:1:pos:R:3 pbc="T T T"
Rb 0.097 -4.284 -0.137
Rb 6.831 -4.074 -2.269
Rb -1.341 -8.491 -2.526
Rb 8.269 0.133 0.120
Rb 9.924 -1.097 -4.041
Rb -2.996 -7.260 1.635
Rb 3.054 -6.992 -2.479
Rb 3.873 -1.365 0.073
Rb 6.476 -2.814 -6.924
Rb 0.451 -5.543 4.518
Rb 4.366 -5.370 1.856
Rb 2.561 -2.988 -4.262
Na 5.595 0.248 -3.804
Na 0.000 0.000 0.000
Ag 7.483 -3.300 1.307
Ag -0.555 -5.058 -3.713
Ag 2.348 -2.665 3.280
Ag 3.811 -4.325 5.322
```

Values from the calculation:
Magnetization ... 0.0 Bohr magnetons per cell
E_form ... 39 meV/atom
Space-group type ... Immm (71)

=====

(20)
The following is a PBE calculation of a geometry-optimized RbNaAg3 structure, from the Alexandria database.

extended XYZ file:
```
20
Lattice="-1.546 3.749 -4.145 5.259 -3.270 -4.919 -7.995 -7.348 -3.664" Properties=species:S:1:pos:R:3 pbc="T T T"
Rb -3.499 -2.657 -5.154
Rb 2.355 1.257 -7.854
Rb -0.783 -4.212 -7.574
Rb -6.637 -8.126 -4.874
Na -3.998 -3.674 -1.832
Na 1.857 0.240 -4.532
Na -0.773 1.875 -2.073
Na -1.368 -5.309 -4.292
Ag -1.467 -7.628 -8.387
Ag -0.096 -2.326 -4.089
Ag -2.043 -1.115 -2.269
Ag -0.868 -0.450 -6.161
Ag -2.815 0.760 -4.341
Ag -4.186 -4.543 -8.639
Ag -2.239 -5.753 -10.460
Ag -3.413 -6.418 -6.567
Ag -5.791 -4.759 -6.207
Ag 0.066 -0.851 -8.901
Ag 1.509 -2.110 -6.521
Ag -4.348 -6.018 -3.828
```

Values from the calculation:
Magnetization ... 0.0 Bohr magnetons per cell
E_form ... 75 meV/atom
E above lowest polymorph ... 0 kJ/mol of formula units
Space-group type ... Imma (74)

=====

(21)
The following is a PBE calculation of a geometry-optimized RbNaAg3 structure, from the Alexandria database.

extended XYZ file:
```
5
Lattice="-1.415 3.971 3.530 -3.678 1.905 -3.616 -3.835 -3.292 2.166" Properties=species:S:1:pos:R:3 pbc="T T T"
Na 0.000 0.000 0.000
Rb -4.463 1.292 1.040
Ag -1.839 0.952 -1.808
Ag -1.917 -1.646 1.083
Ag -0.707 1.985 1.765
```

Values from the calculation:
Magnetization ... 0.0 Bohr magnetons per cell
E_form ... 391 meV/atom
E above lowest polymorph ... 152 kJ/mol of formula units
Space-group type ... Pm-3m (221)

=====

(22)
The following is a PBE calculation of a geometry-optimized Rb2Na2Ag structure, from the Alexandria database.

extended XYZ file:
```
5
Lattice="-3.797 -2.612 -0.223 2.245 -3.442 2.099 -4.199 1.064 11.305" Properties=species:S:1:pos:R:3 pbc="T T T"
Na -4.386 -2.288 6.010
Na -1.365 -2.703 7.171
Rb -1.377 -2.309 2.757
Rb -4.374 -2.681 10.424
Ag 0.000 0.000 0.000
```

Values from the calculation:
Magnetization ... 0.0 Bohr magnetons per cell
E_form ... 98 meV/atom
E above lowest polymorph ... 3 kJ/mol of formula units
Space-group type ... I4/mmm (139)

=====

(23)
The following is a PBE calculation of a geometry-optimized Rb2NaAg2 structure, from the Alexandria database.

extended XYZ file:
```
10
Lattice="-7.550 -4.680 4.974 5.666 -8.432 0.667 1.476 1.263 3.428" Properties=species:S:1:pos:R:3 pbc="T T T"
Na 0.000 0.000 0.000
Na -0.942 -6.556 2.820
Rb 2.152 -8.960 2.374
Rb -2.890 -9.415 4.712
Rb -4.035 -4.152 3.266
Rb 1.007 -3.697 0.929
Ag 3.268 -5.696 2.956
Ag 0.501 -9.536 5.561
Ag -3.676 -6.153 6.113
Ag -0.909 -2.313 3.507
```

Values from the calculation:
Magnetization ... 0.0 Bohr magnetons per cell
E_form ... 179 meV/atom
E above lowest polymorph ... 51 kJ/mol of formula units
Space-group type ... P4/mbm (127)

=====

(24)
The following is a PBE calculation of a geometry-optimized RbNaAg structure, from the Alexandria database.

extended XYZ file:
```
6
Lattice="4.967 0.000 0.000 0.000 7.449 0.005 0.000 -1.664 6.703" Properties=species:S:1:pos:R:3 pbc="T T T"
Rb 4.033 6.126 0.984
Rb 1.550 2.210 0.184
Na 4.034 2.023 3.702
Na 1.550 4.647 4.167
Ag 4.034 -0.907 4.460
Ag 1.550 0.129 3.407
```

Values from the calculation:
Magnetization ... 0.0 Bohr magnetons per cell
E_form ... 26 meV/atom
E above lowest polymorph ... 0 kJ/mol of formula units
Space-group type ... P2_1/m (11)